1 | Material: RbI2OF
Method: DFT, GGA-PBE
State: optimized geometry

a b c (Å): 4.946 4.946 6.460
angles (deg): 90.00 90.00 90.00
Site moments in Bohr magnetons follow the coordinates.
Element x y z (fractional)
I1 0.000 0.500 0.000  0.00
I2 0.500 0.000 0.000  0.00
O1 0.000 0.000 0.500  -1.02
Rb1 0.500 0.500 0.500  0.00
F1 0.000 0.000 0.000  0.00

D(E_F) (states/eV/cell): 7.5

=====

2 | Material: RbI2OF
Method: DFT, GGA-PBE
State: optimized geometry

a b c (Å): 7.082 7.082 5.602
angles (deg): 90.00 90.00 90.00
Site moments in Bohr magnetons follow the coordinates.
Element x y z (fractional)
I1 0.000 0.500 0.000  0.52
I2 0.500 0.000 0.000  0.52
O1 0.000 0.000 0.500  1.31
Rb1 0.000 0.000 0.000  -0.01
F1 0.500 0.500 0.500  0.52

D(E_F) (states/eV/cell): 14.3

=====

The computed energies, referenced to the most stable structure and given in kJ/mol of atoms, are 1 0.0; 2 55.3.

=====

1 | Material: RhI2OF
Method: DFT, GGA-PBE
State: optimized geometry

a b c (Å): 5.126 5.126 3.615
angles (deg): 90.00 90.00 90.00
Site moments in Bohr magnetons follow the coordinates.
Element x y z (fractional)
I1 0.000 0.500 0.000  0.10
I2 0.500 0.000 0.000  0.10
Rh1 0.500 0.500 0.500  0.15
O1 0.000 0.000 0.500  0.33
F1 0.000 0.000 0.000  0.01

D(E_F) (states/eV/cell): 6.5

=====

2 | Material: RhI2OF
Method: DFT, GGA-PBE
State: optimized geometry

a b c (Å): 5.532 5.532 3.680
angles (deg): 90.00 90.00 90.00
Element x y z (fractional)
I1 0.000 0.500 0.000
I2 0.500 0.000 0.000
Rh1 0.000 0.000 0.000
O1 0.000 0.000 0.500
F1 0.500 0.500 0.500

D(E_F) (states/eV/cell): 8.2

=====

The computed energies, referenced to the most stable structure and given in kJ/mol of atoms, are 1 98.6; 2 0.0.